Material: WSeBr2
Method: DFT, PBE-GGA
State: relaxed

The calculation puts the total energy at -4.742 eV/atom. For the energy relative to the elements, uncorrected, the calculation gives 0.2034 eV per atom. Its crystal system is orthorhombic.

It has space group Imm2 (No. 44), with a = 3.2106 Å, b = 5.1792 Å, c = 13.1106 Å, α = 90.00°, β = 90.00° and γ = 90.00°. The asymmetric unit holds W at (0.0000, 0.0000, 0.0000), Se at (0.0000, 0.5000, 0.3574), Br at (0.0000, 0.0000, 0.5019) and Br at (0.0000, 0.5000, 0.6611).